Tl3HgPb3, relaxed, DFT PBE; formation enthalpy at 0 K = 379 meV/atom; crystal system = cubic; space-group type = Pm-3n, No. 223
1.0
8.5709 0.0000 0.0000
0.0000 8.5709 0.0000
0.0000 0.0000 8.5709
Pb Hg Tl
6 2 6
direct
0.7500 0.5000 0.0000
0.0000 0.7500 0.5000
0.5000 0.0000 0.7500
0.0000 0.2500 0.5000
0.2500 0.5000 0.0000
0.5000 0.0000 0.2500
0.5000 0.5000 0.5000
0.0000 0.0000 0.0000
0.7500 0.0000 0.5000
0.0000 0.5000 0.2500
0.2500 0.0000 0.5000
0.5000 0.2500 0.0000
0.0000 0.5000 0.7500
0.5000 0.7500 0.0000

---

Tl2Hg9Pb, relaxed, DFT PBE; formation enthalpy at 0 K = 13 meV/atom; crystal system = triclinic; space-group type = P-1, No. 2
1.0
5.8925 0.0099 -0.1303
0.0105 5.4205 -0.0004
0.1765 -0.0001 10.6382
Hg Pb Tl
9 1 2
direct
0.4999 0.0000 0.1632
0.0003 0.5000 0.8338
0.5000 0.5000 0.0000
0.5001 0.5000 0.6674
0.5001 0.0000 0.8368
0.5000 0.0000 0.5000
0.4999 0.5000 0.3326
0.0000 0.5000 0.5000
0.9997 0.5000 0.1662
0.0000 0.0000 0.0000
0.0000 0.0000 0.3326
0.0000 0.0000 0.6674